[1]
A plane-wave DFT calculation with PBE-GGA was carried out for a relaxed structure of La2Tb2NdHo2.

a = 5.1200 Å, b = 6.2744 Å, c = 8.1187 Å
α = 97.38°, β = 90.00°, γ = 114.08°
Fractional positions:
La1 0.1428 0.2856 0.4280
La2 0.8572 0.7144 0.5720
Tb1 0.5710 0.1420 0.7187
Tb2 0.4290 0.8580 0.2813
Nd1 0.0000 0.0000 0.0000
Ho1 0.7159 0.4317 0.1387
Ho2 0.2841 0.5683 0.8613

Values from the calculation:
The formation energy comes out at 0.0283 eV per atom. Its space-group type is C2/m.

=====

[2]
A plane-wave DFT calculation with PBE-GGA was carried out for a relaxed structure of K3PuPa2Te6.

a = 7.7519 Å, b = 7.7519 Å, c = 8.7662 Å
α = 98.48°, β = 98.48°, γ = 120.00°
Fractional positions:
K1 0.1648 0.8352 0.5000
K2 0.8352 0.1648 0.5000
K3 0.5000 0.5000 0.5000
Pu1 0.0000 0.0000 0.0000
Pa1 0.3331 0.6669 0.0000
Pa2 0.6669 0.3331 0.0000
Te1 0.9286 0.5898 0.7860
Te2 0.7324 0.7324 0.2136
Te3 0.0714 0.4102 0.2140
Te4 0.5898 0.9286 0.7860
Te5 0.2676 0.2676 0.7864
Te6 0.4102 0.0714 0.2140

Values from the calculation:
Its space-group type is C2/m. The formation energy without anion corrections is -1.0087 eV/atom.

=====

Copy entry 1 word for word.
A plane-wave DFT calculation with PBE-GGA was carried out for a relaxed structure of La2Tb2NdHo2.

a = 5.1200 Å, b = 6.2744 Å, c = 8.1187 Å
α = 97.38°, β = 90.00°, γ = 114.08°
Fractional positions:
La1 0.1428 0.2856 0.4280
La2 0.8572 0.7144 0.5720
Tb1 0.5710 0.1420 0.7187
Tb2 0.4290 0.8580 0.2813
Nd1 0.0000 0.0000 0.0000
Ho1 0.7159 0.4317 0.1387
Ho2 0.2841 0.5683 0.8613

Values from the calculation:
The formation energy comes out at 0.0283 eV per atom. Its space-group type is C2/m.